# CoB4O7

A relaxed structure of CoB4O7 (PBE with a Hubbard U, Alexandria via LeMat-Bulk).

abc: 8.308 8.793 13.896
angles: 90.00 90.00 90.00
Element x y z (fractional)
Co 0.111 0.127 0.121
Co 0.111 0.373 0.621
Co 0.389 0.627 0.121
Co 0.389 0.873 0.621
Co 0.611 0.127 0.379
Co 0.611 0.373 0.879
Co 0.889 0.627 0.379
Co 0.889 0.873 0.879
B 0.026 0.146 0.770
B 0.026 0.354 0.270
B 0.030 0.587 0.168
B 0.030 0.913 0.668
B 0.087 0.699 0.563
B 0.087 0.801 0.063
B 0.162 0.144 0.462
B 0.162 0.356 0.962
B 0.338 0.644 0.462
B 0.338 0.856 0.962
B 0.413 0.199 0.563
B 0.413 0.301 0.063
B 0.470 0.087 0.168
B 0.470 0.413 0.668
B 0.474 0.646 0.770
B 0.474 0.854 0.270
B 0.526 0.146 0.730
B 0.526 0.354 0.230
B 0.530 0.587 0.332
B 0.530 0.913 0.832
B 0.587 0.699 0.937
B 0.587 0.801 0.437
B 0.662 0.144 0.038
B 0.662 0.356 0.538
B 0.838 0.644 0.038
B 0.838 0.856 0.538
B 0.913 0.199 0.937
B 0.913 0.301 0.437
B 0.970 0.087 0.332
B 0.970 0.413 0.832
B 0.974 0.646 0.730
B 0.974 0.854 0.230
O 0.017 0.200 0.249
O 0.017 0.300 0.749
O 0.033 0.591 0.643
O 0.033 0.909 0.143
O 0.061 0.239 0.996
O 0.061 0.261 0.496
O 0.094 0.052 0.705
O 0.094 0.448 0.205
O 0.117 0.060 0.385
O 0.117 0.440 0.885
O 0.152 0.665 0.109
O 0.152 0.835 0.609
O 0.193 0.614 0.504
O 0.193 0.886 0.004
O 0.307 0.114 0.504
O 0.307 0.386 0.004
O 0.348 0.165 0.109
O 0.348 0.335 0.609
O 0.383 0.560 0.385
O 0.383 0.940 0.885
O 0.406 0.552 0.705
O 0.406 0.948 0.205
O 0.439 0.739 0.996
O 0.439 0.761 0.496
O 0.467 0.091 0.643
O 0.467 0.409 0.143
O 0.483 0.700 0.249
O 0.483 0.800 0.749
O 0.517 0.200 0.251
O 0.517 0.300 0.751
O 0.533 0.591 0.857
O 0.533 0.909 0.357
O 0.561 0.239 0.504
O 0.561 0.261 0.004
O 0.594 0.052 0.795
O 0.594 0.448 0.295
O 0.617 0.060 0.115
O 0.617 0.440 0.615
O 0.652 0.665 0.391
O 0.652 0.835 0.891
O 0.693 0.614 0.996
O 0.693 0.886 0.496
O 0.807 0.114 0.996
O 0.807 0.386 0.496
O 0.848 0.165 0.391
O 0.848 0.335 0.891
O 0.883 0.560 0.115
O 0.883 0.940 0.615
O 0.906 0.552 0.795
O 0.906 0.948 0.295
O 0.939 0.739 0.504
O 0.939 0.761 0.004
O 0.967 0.091 0.857
O 0.967 0.409 0.357
O 0.983 0.700 0.251
O 0.983 0.800 0.751

energy above the most stable polymorph in this dataset: 0.0000 eV/atom
N(E_F): 0.0 states/eV per cell
VASP energy: -93.1 eV per formula unit
magnetic moment: 24.06 Bohr magnetons per cell
V: 1015.0 Å³ per cell